# Ti4Ni4Rh3 GGA-PBE relaxed
# - ΔE_f (eV/atom) = -0.3236
# - spin magnetization (μB/f.u.) = 0.00
# - Fermi-level density of states (states/eV per cell) = 7.2
# - uncorrected energy (eV/atom) = -7.302
data_Ti4Ni4Rh3
_chemical_formula_sum 'Ti4 Ni4 Rh3'
_cell_length_a 2.905
_cell_length_b 8.208
_cell_length_c 7.796
_cell_angle_alpha 121.77
_cell_angle_beta 100.74
_cell_angle_gamma 90.00
_symmetry_space_group_name_H-M 'P 1'
_symmetry_Int_Tables_number 1
_symmetry_space_group_name_Hall 'P 1'
loop_
_atom_site_label
_atom_site_fract_x
_atom_site_fract_y
_atom_site_fract_z
_atom_site_occupancy
Ti1 0.203 0.703 0.406 1
Ti2 0.797 0.297 0.594 1
Ti3 0.500 0.794 0.000 1
Ti4 0.500 0.206 0.000 1
Ni1 0.323 0.084 0.646 1
Ni2 0.677 0.438 0.354 1
Ni3 0.677 0.916 0.354 1
Ni4 0.323 0.562 0.646 1
Rh1 0.115 0.115 0.230 1
Rh2 0.885 0.885 0.770 1
Rh3 0.000 0.500 0.000 1

# SbTe2Os GGA-PBE relaxed
# - raw formation energy (eV per formula unit) = 1.2
# - spin magnetization (μB/f.u.) = 0.00
# - Fermi-level density of states (states/eV per cell) = 2.3
# - uncorrected energy (eV/atom) = -5.110
data_SbTe2Os
_chemical_formula_sum 'Sb1 Te2 Os1'
_cell_length_a 3.982
_cell_length_b 3.982
_cell_length_c 8.662
_cell_angle_alpha 86.92
_cell_angle_beta 86.92
_cell_angle_gamma 47.84
_symmetry_space_group_name_H-M 'P 1'
_symmetry_Int_Tables_number 1
_symmetry_space_group_name_Hall 'P 1'
loop_
_atom_site_label
_atom_site_fract_x
_atom_site_fract_y
_atom_site_fract_z
_atom_site_occupancy
Os1 0.250 0.250 0.250 1
Sb1 0.750 0.750 0.750 1
Te1 0.966 0.966 0.068 1
Te2 0.534 0.534 0.432 1

# DyMgAl2Pt4 GGA-PBE relaxed
# - ΔE_f (eV/atom) = -1.0279
# - spin magnetization (μB/f.u.) = 0.00
# - Fermi-level density of states (states/eV per cell) = 3.7
# - uncorrected energy (eV/atom) = -5.759
data_DyMgAl2Pt4
_chemical_formula_sum 'Dy1 Mg1 Al2 Pt4'
_cell_length_a 4.326
_cell_length_b 4.326
_cell_length_c 8.849
_cell_angle_alpha 75.85
_cell_angle_beta 75.85
_cell_angle_gamma 60.00
_symmetry_space_group_name_H-M 'P 1'
_symmetry_Int_Tables_number 1
_symmetry_space_group_name_Hall 'P 1'
loop_
_atom_site_label
_atom_site_fract_x
_atom_site_fract_y
_atom_site_fract_z
_atom_site_occupancy
Dy1 0.000 0.000 0.000 1
Mg1 0.500 0.500 0.500 1
Al1 0.759 0.759 0.723 1
Al2 0.241 0.241 0.277 1
Pt1 0.399 0.399 0.803 1
Pt2 0.870 0.870 0.391 1
Pt3 0.130 0.130 0.609 1
Pt4 0.601 0.601 0.197 1

# AlC2 GGA-PBE relaxed
# - distance to the lowest polymorph of the same formula (meV/atom) = 441
# - ΔE_f (eV/atom) = 0.7287
# - spin magnetization (μB/f.u.) = 0.00
# - Fermi-level density of states (states/eV per cell) = 1.5
# - uncorrected energy (eV/atom) = -6.668
data_AlC2
_chemical_formula_sum 'Al2 C4'
_cell_length_a 4.170
_cell_length_b 4.170
_cell_length_c 6.802
_cell_angle_alpha 78.58
_cell_angle_beta 78.58
_cell_angle_gamma 36.98
_symmetry_space_group_name_H-M 'P 1'
_symmetry_Int_Tables_number 1
_symmetry_space_group_name_Hall 'P 1'
loop_
_atom_site_label
_atom_site_fract_x
_atom_site_fract_y
_atom_site_fract_z
_atom_site_occupancy
Al1 0.182 0.182 0.843 1
Al2 0.236 0.236 0.461 1
C1 0.574 0.574 0.656 1
C2 0.219 0.219 0.169 1
C3 0.412 0.412 0.627 1
C4 0.710 0.710 0.077 1

Question: Look up the uncorrected energy of the second one.
Answer: -5.110 eV/atom

Question: Look up the uncorrected energy of the second one.
Answer: -5.110 eV/atom

Question: Fermi-level density of states of number 2 (SbTe2Os)?
Answer: 2.3 states/eV per cell